Arrangement w

Density functional theory data (GGA-PBE) for NaTb2Sm after structural relaxation.

Structure (CIF):
```
data_NaTb2Sm
_chemical_formula_sum 'Na3 Tb6 Sm3'
_cell_length_a 3.5277
_cell_length_b 3.5277
_cell_length_c 38.2993
_cell_angle_alpha 90.00
_cell_angle_beta 90.00
_cell_angle_gamma 120.00
_symmetry_space_group_name_H-M 'R -3 m'
_symmetry_Int_Tables_number 166
_symmetry_space_group_name_Hall '-R 3 2"'
loop_
_atom_site_label
_atom_site_fract_x
_atom_site_fract_y
_atom_site_fract_z
Na1 0.0000 0.0000 0.0000
Tb1 0.0000 0.0000 0.0916
Sm1 0.0000 0.0000 0.5000
```

---

Arrangement x

Density functional theory data (GGA-PBE) for NaTb2Sm after structural relaxation.

Structure (CIF):
```
data_NaTb2Sm
_chemical_formula_sum 'Na1 Tb2 Sm1'
_cell_length_a 3.5522
_cell_length_b 3.5522
_cell_length_c 10.6302
_cell_angle_alpha 90.00
_cell_angle_beta 90.00
_cell_angle_gamma 90.00
_symmetry_space_group_name_H-M 'P 4/m m m'
_symmetry_Int_Tables_number 123
_symmetry_space_group_name_Hall '-P 4 2'
loop_
_atom_site_label
_atom_site_fract_x
_atom_site_fract_y
_atom_site_fract_z
Na1 0.0000 0.0000 0.0000
Tb1 0.5000 0.5000 0.2672
Sm1 0.0000 0.0000 0.5000
```

---

Last place for stability: arrangement w

---

Arrangement w

Density functional theory data (GGA-PBE) for NaTbSm2 after structural relaxation.

Structure (CIF):
```
data_NaTbSm2
_chemical_formula_sum 'Na3 Tb3 Sm6'
_cell_length_a 3.5469
_cell_length_b 3.5469
_cell_length_c 38.4412
_cell_angle_alpha 90.00
_cell_angle_beta 90.00
_cell_angle_gamma 120.00
_symmetry_space_group_name_H-M 'R -3 m'
_symmetry_Int_Tables_number 166
_symmetry_space_group_name_Hall '-R 3 2"'
loop_
_atom_site_label
_atom_site_fract_x
_atom_site_fract_y
_atom_site_fract_z
Na1 0.0000 0.0000 0.0000
Tb1 0.0000 0.0000 0.5000
Sm1 0.0000 0.0000 0.0920
```

---

Arrangement x

Density functional theory data (GGA-PBE) for NaTbSm2 after structural relaxation.

Structure (CIF):
```
data_NaTbSm2
_chemical_formula_sum 'Na1 Tb1 Sm2'
_cell_length_a 3.5358
_cell_length_b 3.5358
_cell_length_c 10.8422
_cell_angle_alpha 90.00
_cell_angle_beta 90.00
_cell_angle_gamma 90.00
_symmetry_space_group_name_H-M 'P 4/m m m'
_symmetry_Int_Tables_number 123
_symmetry_space_group_name_Hall '-P 4 2'
loop_
_atom_site_label
_atom_site_fract_x
_atom_site_fract_y
_atom_site_fract_z
Na1 0.0000 0.0000 0.0000
Tb1 0.0000 0.0000 0.5000
Sm1 0.5000 0.5000 0.2675
```

---

Last place for stability: arrangement w

---

Arrangement w

Density functional theory data (GGA-PBE) for NaSm6Te8 after structural relaxation.

Structure (CIF):
```
data_NaSm6Te8
_chemical_formula_sum 'Na4 Sm24 Te32'
_cell_length_a 12.5442
_cell_length_b 12.5442
_cell_length_c 12.5442
_cell_angle_alpha 90.00
_cell_angle_beta 90.00
_cell_angle_gamma 90.00
_symmetry_space_group_name_H-M 'F m -3 m'
_symmetry_Int_Tables_number 225
_symmetry_space_group_name_Hall '-F 4 2 3'
loop_
_atom_site_label
_atom_site_fract_x
_atom_site_fract_y
_atom_site_fract_z
Na1 0.0000 0.0000 0.0000
Sm1 0.0000 0.2500 0.2500
Te1 0.0000 0.0000 0.2556
Te2 0.2500 0.2500 0.2500
```

---

Arrangement x

Density functional theory data (GGA-PBE) for NaSm6Te8 after structural relaxation.

Structure (CIF):
```
data_NaSm6Te8
_chemical_formula_sum 'Na1 Sm6 Te8'
_cell_length_a 11.8423
_cell_length_b 11.8423
_cell_length_c 4.5496
_cell_angle_alpha 90.00
_cell_angle_beta 90.00
_cell_angle_gamma 120.00
_symmetry_space_group_name_H-M 'P -3'
_symmetry_Int_Tables_number 147
loop_
_symmetry_equiv_pos_as_xyz
'x,y,z'
'-x,-y,-z'
'-y,x-y,z'
'y,-x+y,-z'
'-x+y,-x,z'
'x-y,x,-z'
loop_
_atom_site_label
_atom_site_fract_x
_atom_site_fract_y
_atom_site_fract_z
Na1 0.0000 0.0000 0.0000
Sm1 0.1348 0.6498 0.2501
Te1 0.0445 0.3464 0.2495
Te2 0.3333 0.6667 0.7499
```

---

Last place for stability: arrangement x

---

Arrangement w

Density functional theory data (GGA-PBE) for NaSmTe after structural relaxation.

Structure (CIF):
```
data_NaSmTe
_chemical_formula_sum 'Na2 Sm2 Te2'
_cell_length_a 4.3799
_cell_length_b 4.3799
_cell_length_c 9.4316
_cell_angle_alpha 90.00
_cell_angle_beta 90.00
_cell_angle_gamma 90.00
_symmetry_space_group_name_H-M 'P 4/n m m'
_symmetry_Int_Tables_number 129
loop_
_symmetry_equiv_pos_as_xyz
'x,y,z'
'-x,-y,-z'
'-y+1/2,x,z'
'y+1/2,-x,-z'
'-x+1/2,-y+1/2,z'
'x+1/2,y+1/2,-z'
'y,-x+1/2,z'
'-y,x+1/2,-z'
'x+1/2,-y,-z'
'-x+1/2,y,z'
'-y,-x,-z'
'y,x,z'
'-x,y+1/2,-z'
'x,-y+1/2,z'
'y+1/2,x+1/2,-z'
'-y+1/2,-x+1/2,z'
loop_
_atom_site_label
_atom_site_fract_x
_atom_site_fract_y
_atom_site_fract_z
Na1 0.2500 0.7500 0.0000
Sm1 0.2500 0.2500 0.3689
Te1 0.2500 0.2500 0.7017
```

---

Arrangement x

Density functional theory data (GGA-PBE) for NaSmTe after structural relaxation.

Structure (CIF):
```
data_NaSmTe
_chemical_formula_sum 'Na2 Sm2 Te2'
_cell_length_a 3.8959
_cell_length_b 3.8959
_cell_length_c 13.7801
_cell_angle_alpha 90.00
_cell_angle_beta 90.00
_cell_angle_gamma 90.00
_symmetry_space_group_name_H-M 'I 4 m m'
_symmetry_Int_Tables_number 107
_symmetry_space_group_name_Hall 'I 4 -2'
loop_
_atom_site_label
_atom_site_fract_x
_atom_site_fract_y
_atom_site_fract_z
Na1 0.0000 0.0000 0.0000
Sm1 0.0000 0.0000 0.2819
Te1 0.0000 0.0000 0.6725
```

---

Last place for stability: arrangement x

---

Arrangement w

Density functional theory data (GGA-PBE) for NaSm2Th after structural relaxation.

Structure (CIF):
```
data_NaSm2Th
_chemical_formula_sum 'Na1 Sm2 Th1'
_cell_length_a 3.6082
_cell_length_b 3.6082
_cell_length_c 10.5653
_cell_angle_alpha 90.00
_cell_angle_beta 90.00
_cell_angle_gamma 90.00
_symmetry_space_group_name_H-M 'P 4/m m m'
_symmetry_Int_Tables_number 123
_symmetry_space_group_name_Hall '-P 4 2'
loop_
_atom_site_label
_atom_site_fract_x
_atom_site_fract_y
_atom_site_fract_z
Na1 0.0000 0.0000 0.0000
Sm1 0.5000 0.5000 0.2740
Th1 0.0000 0.0000 0.5000
```

---

Arrangement x

Density functional theory data (GGA-PBE) for NaSm2Th after structural relaxation.

Structure (CIF):
```
data_NaSm2Th
_chemical_formula_sum 'Na3 Sm6 Th3'
_cell_length_a 3.5792
_cell_length_b 3.5792
_cell_length_c 38.2072
_cell_angle_alpha 90.00
_cell_angle_beta 90.00
_cell_angle_gamma 120.00
_symmetry_space_group_name_H-M 'R -3 m'
_symmetry_Int_Tables_number 166
_symmetry_space_group_name_Hall '-R 3 2"'
loop_
_atom_site_label
_atom_site_fract_x
_atom_site_fract_y
_atom_site_fract_z
Na1 0.0000 0.0000 0.0000
Sm1 0.0000 0.0000 0.0930
Th1 0.0000 0.0000 0.5000
```

---

Last place for stability: arrangement x

---

Arrangement w

Density functional theory data (GGA-PBE) for NaSmTl2 after structural relaxation.

Structure (CIF):
```
data_NaSmTl2
_chemical_formula_sum 'Na1 Sm1 Tl2'
_cell_length_a 5.3402
_cell_length_b 5.3402
_cell_length_c 3.9293
_cell_angle_alpha 90.00
_cell_angle_beta 90.00
_cell_angle_gamma 90.00
_symmetry_space_group_name_H-M 'P 4/m m m'
_symmetry_Int_Tables_number 123
_symmetry_space_group_name_Hall '-P 4 2'
loop_
_atom_site_label
_atom_site_fract_x
_atom_site_fract_y
_atom_site_fract_z
Na1 0.0000 0.0000 0.0000
Sm1 0.5000 0.5000 0.0000
Tl1 0.0000 0.5000 0.5000
```

---

Arrangement x

Density functional theory data (GGA-PBE) for NaSmTl2 after structural relaxation.

Structure (CIF):
```
data_NaSmTl2
_chemical_formula_sum 'Na3 Sm3 Tl6'
_cell_length_a 3.6481
_cell_length_b 3.6481
_cell_length_c 31.4741
_cell_angle_alpha 90.00
_cell_angle_beta 90.00
_cell_angle_gamma 120.00
_symmetry_space_group_name_H-M 'R -3 m'
_symmetry_Int_Tables_number 166
_symmetry_space_group_name_Hall '-R 3 2"'
loop_
_atom_site_label
_atom_site_fract_x
_atom_site_fract_y
_atom_site_fract_z
Na1 0.0000 0.0000 0.0000
Sm1 0.0000 0.0000 0.5000
Tl1 0.0000 0.0000 0.2506
```

---

Arrangement y

Density functional theory data (GGA-PBE) for NaSmTl2 after structural relaxation.

Structure (CIF):
```
data_NaSmTl2
_chemical_formula_sum 'Na4 Sm4 Tl8'
_cell_length_a 7.6263
_cell_length_b 7.6263
_cell_length_c 7.6263
_cell_angle_alpha 90.00
_cell_angle_beta 90.00
_cell_angle_gamma 90.00
_symmetry_space_group_name_H-M 'F m -3 m'
_symmetry_Int_Tables_number 225
_symmetry_space_group_name_Hall '-F 4 2 3'
loop_
_atom_site_label
_atom_site_fract_x
_atom_site_fract_y
_atom_site_fract_z
Na1 0.0000 0.0000 0.0000
Sm1 0.0000 0.0000 0.5000
Tl1 0.2500 0.2500 0.2500
```

---

Last place for stability: arrangement x